Entry 1:
Compound: YCoSb2
Source: Alexandria via LeMat-Bulk
Functional: meta-GGA SCAN
Structure: PBEsol geometry

Cell lengths 4.753, 4.753, 7.565 Å; angles 90.00, 90.00, 90.00 degrees
Space group I4/mmm (No. 139)
Symmetry-distinct sites (fractional):
Y  0.000  0.000  0.000
Co  0.000  0.000  0.500
Sb  0.000  0.500  0.250

Computed properties:
- total magnetization (μB/atom) = 0.545
- VASP energy (eV/atom) = -30.0065
- DOS at the Fermi energy (states/eV/cell) = 3.84
- formation energy without anion corrections (eV per atom) = -0.09



Entry 2:
Compound: ZnCoSb2
Source: Alexandria via LeMat-Bulk
Functional: meta-GGA SCAN
Structure: PBEsol geometry

Cell lengths 6.022, 7.361, 3.282 Å; angles 90.00, 90.00, 90.00 degrees
Space group Cmmm (No. 65)
Symmetry-distinct sites (fractional):
Zn  0.000  0.000  0.000
Co  0.000  0.500  0.000
Sb  0.250  0.250  0.500

Computed properties:
- total magnetization (μB/atom) = 0.399
- VASP energy (eV/atom) = -25.8739
- DOS at the Fermi energy (states/eV/cell) = 4.68
- formation energy without anion corrections (eV per atom) = 0.46



Entry 3:
Compound: ZnCo2Sb
Source: Alexandria via LeMat-Bulk
Functional: meta-GGA SCAN
Structure: PBEsol geometry

Cell lengths 3.933, 3.933, 3.359 Å; angles 90.00, 90.00, 90.00 degrees
Space group P4/mmm (No. 123)
Symmetry-distinct sites (fractional):
Zn  0.000  0.000  0.000
Co  0.000  0.500  0.500
Sb  0.500  0.500  0.000

Computed properties:
- total magnetization (μB/atom) = 0.000
- VASP energy (eV/atom) = -21.1456
- DOS at the Fermi energy (states/eV/cell) = 1.63
- formation energy without anion corrections (eV per atom) = 0.20



Entry 4:
Compound: ZnCoSb3
Source: Alexandria via LeMat-Bulk
Functional: meta-GGA SCAN
Structure: PBEsol geometry

Cell lengths 4.888, 4.888, 4.888 Å; angles 90.00, 90.00, 90.00 degrees
Space group Pm-3m (No. 221)
Symmetry-distinct sites (fractional):
Zn  0.000  0.000  0.000
Co  0.500  0.500  0.500
Sb  0.000  0.500  0.500

Computed properties:
- total magnetization (μB/atom) = 0.001
- VASP energy (eV/atom) = -27.9860
- DOS at the Fermi energy (states/eV/cell) = 5.42
- formation energy without anion corrections (eV per atom) = 0.53



Entry 5:
Compound: ZnCoSb2
Source: Alexandria via LeMat-Bulk
Functional: meta-GGA SCAN
Structure: PBEsol geometry

Cell lengths 4.683, 4.683, 6.587 Å; angles 90.00, 90.00, 90.00 degrees
Space group I4/mmm (No. 139)
Symmetry-distinct sites (fractional):
Zn  0.000  0.000  0.000
Co  0.000  0.000  0.500
Sb  0.000  0.500  0.250

Computed properties:
- total magnetization (μB/atom) = 0.002
- VASP energy (eV/atom) = -25.8209
- DOS at the Fermi energy (states/eV/cell) = 5.34
- formation energy without anion corrections (eV per atom) = 0.51



Entry 6:
Compound: ZnCoSb2
Source: Alexandria via LeMat-Bulk
Functional: meta-GGA SCAN
Structure: PBEsol geometry

Cell lengths 3.6871, 3.6871, 19.7232 Å; angles 90.00, 90.00, 120.00 degrees
Space group R-3m (No. 166, hexagonal axes)
Symmetry-distinct sites (fractional):
Zn  0.0000  0.0000  0.0000
Co  0.0000  0.0000  0.5000
Sb  0.0000  0.0000  0.2357

Computed properties:
- total magnetization (μB/atom) = 0.000
- VASP energy (eV/atom) = -26.2118
- DOS at the Fermi energy (states/eV/cell) = 4.79
- formation energy without anion corrections (eV per atom) = 0.12



Entry 7:
Compound: Zn2CoSb
Source: Alexandria via LeMat-Bulk
Functional: meta-GGA SCAN
Structure: PBEsol geometry

Cell lengths 3.933, 3.933, 7.730 Å; angles 90.00, 90.00, 90.00 degrees
Space group I-4m2 (No. 119)
Symmetry-distinct sites (fractional):
Zn  0.000  0.000  0.000
Zn  0.000  0.500  0.250
Co  0.000  0.000  0.500
Sb  0.000  0.500  0.750

Computed properties:
- total magnetization (μB/atom) = 0.248
- VASP energy (eV/atom) = -20.1347
- DOS at the Fermi energy (states/eV/cell) = 3.39
- formation energy without anion corrections (eV per atom) = 0.26



Entry 8:
Compound: ZrCo2Sb
Source: Alexandria via LeMat-Bulk
Functional: meta-GGA SCAN
Structure: PBEsol geometry

Cell lengths 3.439, 3.439, 5.271 Å; angles 90.00, 90.00, 90.00 degrees
Space group P4mm (No. 99)
Symmetry-distinct sites (fractional):
Zr  0.000  0.000  0.000
Co  0.000  0.000  0.483
Co  0.500  0.500  0.170
Sb  0.500  0.500  0.647

Computed properties:
- total magnetization (μB/atom) = 0.000
- VASP energy (eV/atom) = -25.5920
- DOS at the Fermi energy (states/eV/cell) = 2.71
- formation energy without anion corrections (eV per atom) = 0.05



Entry 9:
Compound: ZrCo2Sb2
Source: Alexandria via LeMat-Bulk
Functional: meta-GGA SCAN
Structure: PBEsol geometry

Cell lengths 3.977, 3.977, 11.032 Å; angles 90.00, 90.00, 90.00 degrees
Space group I4/mmm (No. 139)
Symmetry-distinct sites (fractional):
Zr  0.000  0.000  0.000
Co  0.000  0.500  0.250
Sb  0.000  0.000  0.374

Computed properties:
- total magnetization (μB/atom) = 0.272
- VASP energy (eV/atom) = -28.0392
- DOS at the Fermi energy (states/eV/cell) = 4.27
- formation energy without anion corrections (eV per atom) = -0.07



Entry 10:
Compound: Zr2CoSb
Source: Alexandria via LeMat-Bulk
Functional: meta-GGA SCAN
Structure: PBEsol geometry

Cell lengths 4.018, 4.726, 7.847 Å; angles 90.00, 90.00, 90.00 degrees
Space group Cmmm (No. 65)
Symmetry-distinct sites (fractional):
Zr  0.000  0.000  0.209
Co  0.000  0.500  0.000
Sb  0.000  0.500  0.500

Computed properties:
- total magnetization (μB/atom) = 0.278
- VASP energy (eV/atom) = -29.2960
- DOS at the Fermi energy (states/eV/cell) = 5.07
- formation energy without anion corrections (eV per atom) = -0.31



Entry 11:
Compound: ZrCo2Sb
Source: Alexandria via LeMat-Bulk
Functional: meta-GGA SCAN
Structure: PBEsol geometry

Cell lengths 4.073, 4.073, 16.494 Å; angles 90.00, 90.00, 90.00 degrees
Space group I-42d (No. 122)
Symmetry-distinct sites (fractional):
Zr  0.000  0.000  0.000
Co  0.229  0.250  0.625
Sb  0.000  0.000  0.500

Computed properties:
- total magnetization (μB/atom) = 0.584
- VASP energy (eV/atom) = -25.4254
- DOS at the Fermi energy (states/eV/cell) = 4.96
- formation energy without anion corrections (eV per atom) = 0.22



Entry 12:
Compound: Zr6CoSb2
Source: Alexandria via LeMat-Bulk
Functional: meta-GGA SCAN
Structure: PBEsol geometry

Cell lengths 7.7270, 7.7270, 3.5682 Å; angles 90.00, 90.00, 120.00 degrees
Space group P-62m (No. 189)
Symmetry-distinct sites (fractional):
Zr  0.0000  0.2404  0.0000
Zr  0.0000  0.5978  0.5000
Co  0.0000  0.0000  0.5000
Sb  0.3333  0.6667  0.0000

Computed properties:
- total magnetization (μB/atom) = 0.000
- VASP energy (eV/atom) = -31.2966
- DOS at the Fermi energy (states/eV/cell) = 6.65
- formation energy without anion corrections (eV per atom) = -0.63



Entry 13:
Compound: Zr5CoSb3
Source: Alexandria via LeMat-Bulk
Functional: meta-GGA SCAN
Structure: PBEsol geometry

Cell lengths 8.5305, 8.5305, 5.7101 Å; angles 90.00, 90.00, 120.00 degrees
Space group P6_3/mcm (No. 193)
Symmetry-distinct sites (fractional):
Zr  0.0000  0.2506  0.2500
Zr  0.3333  0.6667  0.0000
Co  0.0000  0.0000  0.0000
Sb  0.0000  0.3914  0.7500

Computed properties:
- total magnetization (μB/atom) = 0.000
- VASP energy (eV/atom) = -32.1475
- DOS at the Fermi energy (states/eV/cell) = 13.95
- formation energy without anion corrections (eV per atom) = -0.75



Entry 14:
Compound: ScCo2
Source: Alexandria via LeMat-Bulk
Functional: meta-GGA SCAN
Structure: PBEsol geometry

Cell lengths 6.737, 6.737, 6.737 Å; angles 90.00, 90.00, 90.00 degrees
Space group Fd-3m (No. 227, origin choice 2)
Symmetry-distinct sites (fractional):
Sc  0.125  0.125  0.125
Co  0.000  0.000  0.500

Computed properties:
- total magnetization (μB/atom) = 0.639
- VASP energy (eV/atom) = -16.5733
- DOS at the Fermi energy (states/eV/cell) = 19.88
- calculated formation energy (eV per atom) = -0.29



Entry 15:
Compound: Sc4Co3
Source: Alexandria via LeMat-Bulk
Functional: meta-GGA SCAN
Structure: PBEsol geometry

Cell lengths 3.320, 3.320, 20.902 Å; angles 90.00, 90.00, 90.00 degrees
Space group I4/mmm (No. 139)
Symmetry-distinct sites (fractional):
Sc  0.000  0.000  0.068
Sc  0.000  0.000  0.329
Co  0.000  0.000  0.205
Co  0.000  0.000  0.500

Computed properties:
- total magnetization (μB/atom) = 0.213
- VASP energy (eV/atom) = -15.5734
- DOS at the Fermi energy (states/eV/cell) = 8.90
- calculated formation energy (eV per atom) = -0.02



Entry 16:
Compound: ScCo3
Source: Alexandria via LeMat-Bulk
Functional: meta-GGA SCAN
Structure: PBEsol geometry

Cell lengths 3.058, 4.000, 8.127 Å; angles 90.00, 90.00, 90.00 degrees
Space group Immm (No. 71)
Symmetry-distinct sites (fractional):
Sc  0.000  0.000  0.000
Co  0.000  0.000  0.500
Co  0.000  0.500  0.240

Computed properties:
- total magnetization (μB/atom) = 1.117
- VASP energy (eV/atom) = -16.6098
- DOS at the Fermi energy (states/eV/cell) = 5.31
- calculated formation energy (eV per atom) = -0.07



Entry 17:
Compound: ScCo2
Source: Alexandria via LeMat-Bulk
Functional: meta-GGA SCAN
Structure: PBEsol geometry

Cell lengths 4.541, 4.541, 8.205 Å; angles 90.00, 90.00, 90.00 degrees
Space group I4/mcm (No. 140)
Symmetry-distinct sites (fractional):
Sc  0.000  0.000  0.250
Co  0.178  0.322  0.000

Computed properties:
- total magnetization (μB/atom) = 0.735
- VASP energy (eV/atom) = -16.2773
- DOS at the Fermi energy (states/eV/cell) = 10.07
- calculated formation energy (eV per atom) = 0.00



Entry 18:
Compound: ScCo2
Source: Alexandria via LeMat-Bulk
Functional: meta-GGA SCAN
Structure: PBEsol geometry

Cell lengths 3.257, 3.257, 4.248 Å; angles 90.00, 90.00, 90.00 degrees
Space group P4/mmm (No. 123)
Symmetry-distinct sites (fractional):
Sc  0.000  0.000  0.000
Co  0.000  0.500  0.500

Computed properties:
- total magnetization (μB/atom) = 0.940
- VASP energy (eV/atom) = -16.2386
- DOS at the Fermi energy (states/eV/cell) = 1.42
- calculated formation energy (eV per atom) = 0.04



Entry 19:
Compound: ScCo13
Source: Alexandria via LeMat-Bulk
Functional: meta-GGA SCAN
Structure: PBEsol geometry

Cell lengths 10.934, 10.934, 10.934 Å; angles 90.00, 90.00, 90.00 degrees
Space group Fm-3c (No. 226)
Symmetry-distinct sites (fractional):
Sc  0.250  0.250  0.250
Co  0.000  0.000  0.000
Co  0.000  0.120  0.178

Computed properties:
- total magnetization (μB/atom) = 1.569
- VASP energy (eV/atom) = -17.0449
- DOS at the Fermi energy (states/eV/cell) = 88.23
- calculated formation energy (eV per atom) = 0.04



Entry 20:
Compound: ScCo5
Source: Alexandria via LeMat-Bulk
Functional: meta-GGA SCAN
Structure: PBEsol geometry

Cell lengths 4.010, 2.615, 13.260 Å; angles 90.00, 90.00, 90.00 degrees
Space group Amm2 (No. 38)
Symmetry-distinct sites (fractional):
Sc  0.000  0.000  0.000
Co  0.000  0.000  0.322
Co  0.000  0.000  0.675
Co  0.500  0.000  0.213
Co  0.500  0.000  0.560
Co  0.500  0.000  0.871

Computed properties:
- total magnetization (μB/atom) = 1.236
- VASP energy (eV/atom) = -16.6344
- DOS at the Fermi energy (states/eV/cell) = 9.51
- calculated formation energy (eV per atom) = 0.16